The following is a DFT calculation (PBE) of crystalline HfMgRh3 at its relaxed geometry.

The structure in CIF format:
```
data_HfMgRh3
_chemical_formula_sum 'Hf1 Mg1 Rh3'
_symmetry_space_group_name_H-M 'P m -3 m'
_symmetry_Int_Tables_number 221
_symmetry_space_group_name_Hall '-P 4 2 3'
_cell_length_a 4.771
_cell_length_b 4.771
_cell_length_c 4.771
_cell_angle_alpha 90.00
_cell_angle_beta 90.00
_cell_angle_gamma 90.00
loop_
_atom_site_label
_atom_site_fract_x
_atom_site_fract_y
_atom_site_fract_z
Hf1 0.000 0.000 0.000
Mg1 0.500 0.500 0.500
Rh1 0.000 0.000 0.500
```

Properties
Density of states at the Fermi level   4.2 states/eV per cell
M_tot   0.000 μB per cell
Total DFT energy (no corrections)   -6.28 eV per atom
Formation energy   0.44 eV/atom